Ca2CrAg: optimized geometry, PBE.

The structure in CIF format:
```
data_Ca2CrAg
_chemical_formula_sum 'Ca2 Cr1 Ag1'
_space_group_name_H-M_alt 'P 1 2/m 1'
_space_group_IT_number 10
_cell_length_a 5.4550
_cell_length_b 3.4560
_cell_length_c 6.2693
_cell_angle_alpha 90.00
_cell_angle_beta 109.85
_cell_angle_gamma 90.00
loop_
_space_group_symop_operation_xyz
'x,y,z'
'-x,-y,-z'
'-x,y,-z'
'x,-y,z'
loop_
_atom_site_label
_atom_site_type_symbol
_atom_site_fract_x
_atom_site_fract_y
_atom_site_fract_z
Ca1 Ca 0.0000 0.0000 0.0000
Ca2 Ca 0.5000 0.5000 0.5000
Cr1 Cr 0.0000 0.0000 0.5000
Ag1 Ag 0.5000 0.5000 0.0000
```

- Magnetic moment: 1.12 μB/atom
- Formation energy: 0.4288 eV per atom
- N(E_F): 3.122 states/eV/cell

CaCr2Ag: optimized geometry, PBE.

The structure in CIF format:
```
data_CaCr2Ag
_chemical_formula_sum 'Ca2 Cr4 Ag2'
_space_group_name_H-M_alt 'I m m 2'
_space_group_IT_number 44
_cell_length_a 4.4294
_cell_length_b 4.8021
_cell_length_c 7.5192
_cell_angle_alpha 90.00
_cell_angle_beta 90.00
_cell_angle_gamma 90.00
loop_
_space_group_symop_operation_xyz
'x,y,z'
'-x,-y,z'
'-x,y,z'
'x,-y,z'
'x+1/2,y+1/2,z+1/2'
'-x+1/2,-y+1/2,z+1/2'
'-x+1/2,y+1/2,z+1/2'
'x+1/2,-y+1/2,z+1/2'
loop_
_atom_site_label
_atom_site_type_symbol
_atom_site_fract_x
_atom_site_fract_y
_atom_site_fract_z
Ca1 Ca 0.0000 0.0000 0.0000
Cr1 Cr 0.0000 0.0000 0.4819
Cr2 Cr 0.0000 0.5000 0.7643
Ag1 Ag 0.0000 0.5000 0.2373
```

- Magnetic moment: 0.01 μB/atom
- Formation energy: 0.4610 eV per atom
- N(E_F): 5.688 states/eV/cell

CaCrAg: optimized geometry, PBE.

The structure in CIF format:
```
data_CaCrAg
_chemical_formula_sum 'Ca1 Cr1 Ag1'
_space_group_name_H-M_alt 'P 3 m 1'
_space_group_IT_number 156
_cell_length_a 3.5425
_cell_length_b 3.5425
_cell_length_c 6.8175
_cell_angle_alpha 90.00
_cell_angle_beta 90.00
_cell_angle_gamma 120.00
loop_
_space_group_symop_operation_xyz
'x,y,z'
'-y,x-y,z'
'-x+y,-x,z'
'-y,-x,z'
'-x+y,y,z'
'x,x-y,z'
loop_
_atom_site_label
_atom_site_type_symbol
_atom_site_fract_x
_atom_site_fract_y
_atom_site_fract_z
Ca1 Ca 0.0000 0.0000 0.0000
Cr1 Cr 0.3333 0.6667 0.3736
Ag1 Ag 0.6667 0.3333 0.6560
```

- Magnetic moment: 1.56 μB/atom
- Formation energy: 0.5888 eV per atom
- N(E_F): 1.662 states/eV/cell

CaCrAg2: optimized geometry, PBE.

The structure in CIF format:
```
data_CaCrAg2
_chemical_formula_sum 'Ca1 Cr1 Ag2'
_space_group_name_H-M_alt 'P 4 m m'
_space_group_IT_number 99
_cell_length_a 3.6975
_cell_length_b 3.6975
_cell_length_c 6.3081
_cell_angle_alpha 90.00
_cell_angle_beta 90.00
_cell_angle_gamma 90.00
loop_
_space_group_symop_operation_xyz
'x,y,z'
'-y,x,z'
'-x,-y,z'
'y,-x,z'
'-x,y,z'
'y,x,z'
'x,-y,z'
'-y,-x,z'
loop_
_atom_site_label
_atom_site_type_symbol
_atom_site_fract_x
_atom_site_fract_y
_atom_site_fract_z
Ca1 Ca 0.0000 0.0000 0.0000
Cr1 Cr 0.5000 0.5000 0.3048
Ag1 Ag 0.0000 0.0000 0.4964
Ag2 Ag 0.5000 0.5000 0.7422
```

- Magnetic moment: 1.11 μB/atom
- Formation energy: 0.2445 eV per atom
- N(E_F): 2.401 states/eV/cell

CaCr2Ag: optimized geometry, PBE.

The structure in CIF format:
```
data_CaCr2Ag
_chemical_formula_sum 'Ca3 Cr6 Ag3'
_space_group_name_H-M_alt 'R -3 m'
_space_group_IT_number 166
_space_group_name_Hall '-R 3 2"'
_cell_length_a 3.2006
_cell_length_b 3.2006
_cell_length_c 29.0410
_cell_angle_alpha 90.00
_cell_angle_beta 90.00
_cell_angle_gamma 120.00
loop_
_atom_site_label
_atom_site_type_symbol
_atom_site_fract_x
_atom_site_fract_y
_atom_site_fract_z
Ca1 Ca 0.0000 0.0000 0.0000
Cr1 Cr 0.0000 0.0000 0.2424
Ag1 Ag 0.0000 0.0000 0.5000
```

- Magnetic moment: 2.09 μB/atom
- Formation energy: 0.8603 eV per atom
- N(E_F): 8.464 states/eV/cell

CaCrAg: optimized geometry, PBE.

The structure in CIF format:
```
data_CaCrAg
_chemical_formula_sum 'Ca4 Cr4 Ag4'
_space_group_name_H-M_alt 'F -4 3 m'
_space_group_IT_number 216
_space_group_name_Hall 'F -4 2 3'
_cell_length_a 6.8307
_cell_length_b 6.8307
_cell_length_c 6.8307
_cell_angle_alpha 90.00
_cell_angle_beta 90.00
_cell_angle_gamma 90.00
loop_
_atom_site_label
_atom_site_type_symbol
_atom_site_fract_x
_atom_site_fract_y
_atom_site_fract_z
Ca1 Ca 0.0000 0.0000 0.0000
Cr1 Cr 0.0000 0.0000 0.5000
Ag1 Ag 0.2500 0.2500 0.7500
```

- Magnetic moment: 1.57 μB/atom
- Formation energy: 0.4365 eV per atom
- N(E_F): 4.979 states/eV/cell

CaCr2Ag: optimized geometry, PBE.

The structure in CIF format:
```
data_CaCr2Ag
_chemical_formula_sum 'Ca4 Cr8 Ag4'
_space_group_name_H-M_alt 'F m -3 m'
_space_group_IT_number 225
_space_group_name_Hall '-F 4 2 3'
_cell_length_a 6.8751
_cell_length_b 6.8751
_cell_length_c 6.8751
_cell_angle_alpha 90.00
_cell_angle_beta 90.00
_cell_angle_gamma 90.00
loop_
_atom_site_label
_atom_site_type_symbol
_atom_site_fract_x
_atom_site_fract_y
_atom_site_fract_z
Ca1 Ca 0.0000 0.0000 0.0000
Cr1 Cr 0.2500 0.2500 0.2500
Ag1 Ag 0.0000 0.0000 0.5000
```

- Magnetic moment: 2.15 μB/atom
- Formation energy: 0.6767 eV per atom
- N(E_F): 19.295 states/eV/cell

CaCr2Ag: optimized geometry, PBE.

The structure in CIF format:
```
data_CaCr2Ag
_chemical_formula_sum 'Ca1 Cr2 Ag1'
_space_group_name_H-M_alt 'P 4 m m'
_space_group_IT_number 99
_cell_length_a 3.2017
_cell_length_b 3.2017
_cell_length_c 7.3998
_cell_angle_alpha 90.00
_cell_angle_beta 90.00
_cell_angle_gamma 90.00
loop_
_space_group_symop_operation_xyz
'x,y,z'
'-y,x,z'
'-x,-y,z'
'y,-x,z'
'-x,y,z'
'y,x,z'
'x,-y,z'
'-y,-x,z'
loop_
_atom_site_label
_atom_site_type_symbol
_atom_site_fract_x
_atom_site_fract_y
_atom_site_fract_z
Ca1 Ca 0.0000 0.0000 0.0000
Cr1 Cr 0.0000 0.0000 0.4470
Cr2 Cr 0.5000 0.5000 0.3095
Ag1 Ag 0.5000 0.5000 0.6966
```

- Magnetic moment: 0.06 μB/atom
- Formation energy: 0.3249 eV per atom
- N(E_F): 3.373 states/eV/cell

CaCrAg: optimized geometry, PBE.

The structure in CIF format:
```
data_CaCrAg
_chemical_formula_sum 'Ca2 Cr2 Ag2'
_space_group_name_H-M_alt 'I 4 m m'
_space_group_IT_number 107
_space_group_name_Hall 'I 4 -2'
_cell_length_a 3.6279
_cell_length_b 3.6279
_cell_length_c 10.5589
_cell_angle_alpha 90.00
_cell_angle_beta 90.00
_cell_angle_gamma 90.00
loop_
_atom_site_label
_atom_site_type_symbol
_atom_site_fract_x
_atom_site_fract_y
_atom_site_fract_z
Ca1 Ca 0.0000 0.0000 0.0000
Cr1 Cr 0.0000 0.0000 0.6956
Ag1 Ag 0.0000 0.0000 0.3139
```

- Magnetic moment: 1.55 μB/atom
- Formation energy: 0.3311 eV per atom
- N(E_F): 5.349 states/eV/cell

CaCrAg2: optimized geometry, PBE.

The structure in CIF format:
```
data_CaCrAg2
_chemical_formula_sum 'Ca4 Cr4 Ag8'
_space_group_name_H-M_alt 'I -4 2 d'
_space_group_IT_number 122
_space_group_name_Hall 'I -4 2bw'
_cell_length_a 4.5219
_cell_length_b 4.5219
_cell_length_c 19.3613
_cell_angle_alpha 90.00
_cell_angle_beta 90.00
_cell_angle_gamma 90.00
loop_
_atom_site_label
_atom_site_type_symbol
_atom_site_fract_x
_atom_site_fract_y
_atom_site_fract_z
Ca1 Ca 0.0000 0.0000 0.0000
Cr1 Cr 0.0000 0.0000 0.5000
Ag1 Ag 0.1787 0.2500 0.6250
```

- Magnetic moment: 1.17 μB/atom
- Formation energy: 0.4787 eV per atom
- N(E_F): 9.053 states/eV/cell

Ca2CrAg: optimized geometry, PBE.

The structure in CIF format:
```
data_Ca2CrAg
_chemical_formula_sum 'Ca4 Cr2 Ag2'
_space_group_name_H-M_alt 'C 1 m 1'
_space_group_IT_number 8
_cell_length_a 12.0214
_cell_length_b 3.7878
_cell_length_c 5.1880
_cell_angle_alpha 90.00
_cell_angle_beta 115.22
_cell_angle_gamma 90.00
loop_
_space_group_symop_operation_xyz
'x,y,z'
'x,-y,z'
'x+1/2,y+1/2,z'
'x+1/2,-y+1/2,z'
loop_
_atom_site_label
_atom_site_type_symbol
_atom_site_fract_x
_atom_site_fract_y
_atom_site_fract_z
Ca1 Ca 0.0000 0.0000 0.0000
Ca2 Ca 0.2124 0.0000 0.7104
Cr1 Cr 0.4395 0.0000 0.4396
Ag1 Ag 0.2513 0.5000 0.2489
```

- Magnetic moment: 1.18 μB/atom
- Formation energy: 0.2180 eV per atom
- N(E_F): 4.765 states/eV/cell

CaCrAg: optimized geometry, PBE.

The structure in CIF format:
```
data_CaCrAg
_chemical_formula_sum 'Ca1 Cr1 Ag1'
_space_group_name_H-M_alt 'P -6 m 2'
_space_group_IT_number 187
_space_group_name_Hall 'P -6 2'
_cell_length_a 4.8013
_cell_length_b 4.8013
_cell_length_c 3.6114
_cell_angle_alpha 90.00
_cell_angle_beta 90.00
_cell_angle_gamma 120.00
loop_
_atom_site_label
_atom_site_type_symbol
_atom_site_fract_x
_atom_site_fract_y
_atom_site_fract_z
Ca1 Ca 0.0000 0.0000 0.0000
Cr1 Cr 0.6667 0.3333 0.5000
Ag1 Ag 0.3333 0.6667 0.5000
```

- Magnetic moment: 1.53 μB/atom
- Formation energy: 0.3325 eV per atom
- N(E_F): 1.419 states/eV/cell

CaCr2Ag: optimized geometry, PBE.

The structure in CIF format:
```
data_CaCr2Ag
_chemical_formula_sum 'Ca1 Cr2 Ag1'
_space_group_name_H-M_alt 'P m m m'
_space_group_IT_number 47
_cell_length_a 3.5789
_cell_length_b 4.6070
_cell_length_c 5.0264
_cell_angle_alpha 90.00
_cell_angle_beta 90.00
_cell_angle_gamma 90.00
loop_
_space_group_symop_operation_xyz
'x,y,z'
'-x,-y,-z'
'-x,-y,z'
'x,y,-z'
'x,-y,-z'
'-x,y,z'
'-x,y,-z'
'x,-y,z'
loop_
_atom_site_label
_atom_site_type_symbol
_atom_site_fract_x
_atom_site_fract_y
_atom_site_fract_z
Ca1 Ca 0.0000 0.0000 0.0000
Cr1 Cr 0.5000 0.1957 0.5000
Ag1 Ag 0.5000 0.5000 0.0000
```

- Magnetic moment: 0.00 μB/atom
- Formation energy: 0.7975 eV per atom
- N(E_F): 3.083 states/eV/cell

CaCr2Ag: optimized geometry, PBE.

The structure in CIF format:
```
data_CaCr2Ag
_chemical_formula_sum 'Ca3 Cr6 Ag3'
_space_group_name_H-M_alt 'R 3 m'
_space_group_IT_number 160
_space_group_name_Hall 'R 3 -2"'
_cell_length_a 3.0537
_cell_length_b 3.0537
_cell_length_c 26.5251
_cell_angle_alpha 90.00
_cell_angle_beta 90.00
_cell_angle_gamma 120.00
loop_
_atom_site_label
_atom_site_type_symbol
_atom_site_fract_x
_atom_site_fract_y
_atom_site_fract_z
Ca1 Ca 0.0000 0.0000 0.0000
Cr1 Cr 0.0000 0.0000 0.2356
Cr2 Cr 0.0000 0.0000 0.5160
Ag1 Ag 0.0000 0.0000 0.7648
```

- Magnetic moment: 0.00 μB/atom
- Formation energy: 0.6308 eV per atom
- N(E_F): 13.857 states/eV/cell